Entry from Alexandria via LeMat-Bulk: crystalline BeNiHg2 at its relaxed geometry (GGA-PBE).

Output
Calculated formation energy = 0.25 eV per atom

The structure in CIF format:
```
data_BeNiHg2
_space_group_name_H-M_alt 'P 1 m 1'
_space_group_IT_number 6
_cell_length_a 3.853
_cell_length_b 3.548
_cell_length_c 5.016
_cell_angle_alpha 90.00
_cell_angle_beta 108.67
_cell_angle_gamma 90.00
loop_
_space_group_symop_operation_xyz
'x,y,z'
'x,-y,z'
loop_
_atom_site_label
_atom_site_fract_x
_atom_site_fract_y
_atom_site_fract_z
Be1 0.000 0.000 0.000
Ni1 0.127 0.500 0.268
Hg1 0.436 0.500 0.852
Hg2 0.708 0.000 0.440
```

Entry from Alexandria via LeMat-Bulk: crystalline BeNi2Hg at its relaxed geometry (GGA-PBE).

Output
ΔE to the lowest computed polymorph = 0.228 eV/atom
Calculated formation energy = 0.19 eV per atom

The structure in CIF format:
```
data_BeNi2Hg
_space_group_name_H-M_alt 'F -4 3 m'
_space_group_IT_number 216
_space_group_name_Hall 'F -4 2 3'
_cell_length_a 5.878
_cell_length_b 5.878
_cell_length_c 5.878
_cell_angle_alpha 90.00
_cell_angle_beta 90.00
_cell_angle_gamma 90.00
loop_
_atom_site_label
_atom_site_fract_x
_atom_site_fract_y
_atom_site_fract_z
Be1 0.000 0.000 0.000
Ni1 0.000 0.000 0.500
Ni2 0.250 0.250 0.750
Hg1 0.250 0.250 0.250
```

Entry from Alexandria via LeMat-Bulk: crystalline BeNi2Hg at its relaxed geometry (GGA-PBE).

Output
ΔE to the lowest computed polymorph = 0.169 eV/atom
Calculated formation energy = 0.13 eV per atom

The structure in CIF format:
```
data_BeNi2Hg
_space_group_name_H-M_alt 'P 4/m m m'
_space_group_IT_number 123
_space_group_name_Hall '-P 4 2'
_cell_length_a 3.760
_cell_length_b 3.760
_cell_length_c 3.592
_cell_angle_alpha 90.00
_cell_angle_beta 90.00
_cell_angle_gamma 90.00
loop_
_atom_site_label
_atom_site_fract_x
_atom_site_fract_y
_atom_site_fract_z
Be1 0.000 0.000 0.000
Ni1 0.000 0.500 0.500
Hg1 0.500 0.500 0.000
```

Entry from Alexandria via LeMat-Bulk: crystalline BeNiHg2 at its relaxed geometry (GGA-PBE).

Output
Calculated formation energy = 0.39 eV per atom

The structure in CIF format:
```
data_BeNiHg2
_space_group_name_H-M_alt 'I -4 m 2'
_space_group_IT_number 119
_space_group_name_Hall 'I -4 -2'
_cell_length_a 3.837
_cell_length_b 3.837
_cell_length_c 8.589
_cell_angle_alpha 90.00
_cell_angle_beta 90.00
_cell_angle_gamma 90.00
loop_
_atom_site_label
_atom_site_fract_x
_atom_site_fract_y
_atom_site_fract_z
Be1 0.000 0.000 0.000
Ni1 0.000 0.500 0.250
Hg1 0.000 0.000 0.500
Hg2 0.000 0.500 0.750
```

Entry from Alexandria via LeMat-Bulk: crystalline BeNi3Hg at its relaxed geometry (GGA-PBE).

Output
ΔE to the lowest computed polymorph = 0.000 eV/atom
Calculated formation energy = 0.24 eV per atom

The structure in CIF format:
```
data_BeNi3Hg
_space_group_name_H-M_alt 'P m -3 m'
_space_group_IT_number 221
_space_group_name_Hall '-P 4 2 3'
_cell_length_a 3.999
_cell_length_b 3.999
_cell_length_c 3.999
_cell_angle_alpha 90.00
_cell_angle_beta 90.00
_cell_angle_gamma 90.00
loop_
_atom_site_label
_atom_site_fract_x
_atom_site_fract_y
_atom_site_fract_z
Be1 0.000 0.000 0.000
Ni1 0.000 0.000 0.500
Hg1 0.500 0.500 0.500
```

Entry from Alexandria via LeMat-Bulk: crystalline BeNi2Hg at its relaxed geometry (GGA-PBE).

Output
ΔE to the lowest computed polymorph = 0.478 eV/atom
Calculated formation energy = 0.44 eV per atom

The structure in CIF format:
```
data_BeNi2Hg
_space_group_name_H-M_alt 'I -4 2 d'
_space_group_IT_number 122
_space_group_name_Hall 'I -4 2bw'
_cell_length_a 3.617
_cell_length_b 3.617
_cell_length_c 17.054
_cell_angle_alpha 90.00
_cell_angle_beta 90.00
_cell_angle_gamma 90.00
loop_
_atom_site_label
_atom_site_fract_x
_atom_site_fract_y
_atom_site_fract_z
Be1 0.000 0.000 0.000
Ni1 0.204 0.250 0.125
Hg1 0.000 0.000 0.500
```

no.,electronic total energy (eV for the cell shown)
1,-9.106
2,-59.320
3,-15.067
4,-17.130
5,-20.168
6,-55.326